(1)
La4TcI2F | GGA-PBE | optimized geometry

The calculation puts the total moment at 0.001 μB per formula unit. The raw formation energy comes out at -1.133 eV/atom. The calculation puts the density of states at the Fermi level at 0.74 states/eV per atom. The total energy is -5.5135 eV/atom.

It has space group P2/m (No. 10), with a = 6.9165 Å, b = 4.2386 Å, c = 8.5310 Å, α = 90.00°, β = 105.39° and γ = 90.00°. The inequivalent atoms are La at (0.2416, 0.0000, 0.1868), La at (0.2568, 0.5000, 0.8102), Tc at (0.0000, 0.5000, 0.0000), I at (0.0000, 0.0000, 0.5000), I at (0.5000, 0.5000, 0.5000) and F at (0.5000, 0.0000, 0.0000).

---

(2)
FeSn | GGA-PBE | optimized geometry

The calculation puts the total moment at 0.000 μB per formula unit. The calculation puts the density of states at the Fermi level at 0.53 states/eV per atom. The formation energy comes out at 0.46 eV/atom. The total energy is -5.7755 eV/atom.

It has space group I4/m (No. 87), with a = 9.9435 Å, b = 9.9435 Å, c = 3.7455 Å, α = 90.00°, β = 90.00° and γ = 90.00°. The inequivalent atoms are Fe at (0.2135, 0.2785, 0.0000) and Sn at (0.0256, 0.2786, 0.5000).

---

(3)
ZnAg2F | GGA-PBE | optimized geometry

The calculation puts the total moment at 0.000 μB per formula unit. The raw formation energy comes out at -0.367 eV/atom. The calculation puts the density of states at the Fermi level at 0.31 states/eV per atom. The total energy is -2.5790 eV/atom. Its energy above the most stable polymorph in this dataset is 0.185 eV per formula unit.

It has space group Fm-3m (No. 225), with a = 6.3163 Å, b = 6.3163 Å, c = 6.3163 Å, α = 90.00°, β = 90.00° and γ = 90.00°. The inequivalent atoms are Zn at (0.0000, 0.0000, 0.0000), Ag at (0.2500, 0.2500, 0.2500) and F at (0.0000, 0.0000, 0.5000).

---

(4)
Tb2MgAl2Pd5 | GGA-PBE | optimized geometry

The calculation puts the total moment at 0.000 μB per formula unit. The calculation puts the density of states at the Fermi level at 0.50 states/eV per atom. The formation energy comes out at -0.78 eV/atom. The total energy is -5.2100 eV/atom.

It has space group P4/mbm (No. 127), with a = 10.2631 Å, b = 10.2631 Å, c = 3.4915 Å, α = 90.00°, β = 90.00° and γ = 90.00°. The inequivalent atoms are Tb at (0.1754, 0.3246, 0.0000), Mg at (0.0000, 0.0000, 0.0000), Al at (0.1243, 0.6243, 0.0000), Pd at (0.0000, 0.5000, 0.5000) and Pd at (0.0606, 0.7910, 0.5000).

---

(5)
HfAgPb3 | GGA-PBE | optimized geometry

The calculation puts the total moment at 0.000 μB per formula unit. The calculation puts the density of states at the Fermi level at 0.92 states/eV per atom. The formation energy comes out at 0.58 eV/atom. The total energy is -4.2063 eV/atom. Its energy above the most stable polymorph in this dataset is 0.000 eV per formula unit.

It has space group Pm-3m (No. 221), with a = 5.6434 Å, b = 5.6434 Å, c = 5.6434 Å, α = 90.00°, β = 90.00° and γ = 90.00°. The inequivalent atoms are Hf at (0.0000, 0.0000, 0.0000), Ag at (0.5000, 0.5000, 0.5000) and Pb at (0.0000, 0.0000, 0.5000).

---

(6)
LaTa2Os | GGA-PBE | optimized geometry

The calculation puts the total moment at 0.000 μB per formula unit. The calculation puts the density of states at the Fermi level at 0.88 states/eV per atom. The formation energy comes out at 0.09 eV/atom. The total energy is -9.8767 eV/atom. Its energy above the most stable polymorph in this dataset is 0.000 eV per formula unit.

It has space group P4mm (No. 99), with a = 3.1560 Å, b = 3.1560 Å, c = 8.3727 Å, α = 90.00°, β = 90.00° and γ = 90.00°. The inequivalent atoms are La at (0.0000, 0.0000, 0.0000), Ta at (0.0000, 0.0000, 0.4444), Ta at (0.5000, 0.5000, 0.6722) and Os at (0.5000, 0.5000, 0.2715).

---

(7)
Ta2AlCdBi | GGA-PBE | optimized geometry

The calculation puts the total moment at 1.448 μB per formula unit. The calculation puts the density of states at the Fermi level at 1.25 states/eV per atom. The formation energy comes out at 1.99 eV/atom. The total energy is -4.4568 eV/atom.

It has space group P4/mmm (No. 123), with a = 5.1003 Å, b = 5.1003 Å, c = 5.4360 Å, α = 90.00°, β = 90.00° and γ = 90.00°. The inequivalent atoms are Ta at (0.0000, 0.5000, 0.0000), Al at (0.0000, 0.0000, 0.5000), Cd at (0.5000, 0.5000, 0.0000) and Bi at (0.5000, 0.5000, 0.5000).

---

- The highest total moment belongs to which entry?
  Ta2AlCdBi

---

- Which formula does entry 1 have?
  La4TcI2F

---

- Which formula does entry 2 have?
  FeSn